No. 1
Er8InPt2 (PBE-GGA, relaxed); space group = C2/m (12); spin magnetization = 0.4 μB per formula unit; E = -5.196 eV/atom; N(E_F) = 13.5 states/eV per cell
1.0
-3.642 2.765 2.867
-4.118 -6.786 -0.808
5.753 -0.343 5.517
Er In Pt
8 1 2
Direct
0.304 0.609 0.609 Er
0.078 0.078 0.329 Er
0.078 0.329 0.078 Er
0.922 0.922 0.671 Er
0.500 0.756 0.244 Er
0.696 0.391 0.391 Er
0.500 0.244 0.756 Er
0.922 0.671 0.922 Er
0.500 0.000 0.000 In
0.000 0.694 0.306 Pt
0.000 0.306 0.694 Pt

No. 2
NaFeIr (PBE-GGA, relaxed); space group = P6_3/mmc (194); spin magnetization = 0.0 μB per formula unit; E = -5.459 eV/atom; N(E_F) = 12.0 states/eV per cell
1.0
-3.790 2.375 0.041
1.219 -2.201 -3.697
-2.512 -4.036 1.574
Na Fe Ir
2 2 2
Direct
0.000 0.000 0.000 Na
0.000 0.000 0.500 Na
0.333 0.667 0.250 Fe
0.667 0.333 0.750 Fe
0.667 0.333 0.250 Ir
0.333 0.667 0.750 Ir

No. 3
LaEr2Mg (PBE-GGA, relaxed); space group = P4/mmm (123); spin magnetization = 0.0 μB per formula unit; E = -3.924 eV/atom; N(E_F) = 6.2 states/eV per cell
1.0
-1.861 -3.176 -0.308
3.154 -1.776 -0.738
1.176 -1.532 8.706
Er Mg La
2 1 1
Direct
0.000 0.000 0.218 Er
0.000 0.000 0.782 Er
0.500 0.500 0.000 Mg
0.500 0.500 0.500 La